The following is a PBE calculation of a geometry-optimized MgSi2Cl2 structure, from the Alexandria database.

Summary:
ΔE_f (raw) ... 225 meV/atom

Lattice parameters (Å, degrees): 8.529 8.529 3.056 90.00 90.00 90.00
Atoms (fractional coordinates):
Mg (0.000, 0.000, 0.000)
Mg (0.500, 0.500, 0.000)
Si (0.227, 0.273, 0.500)
Si (0.273, 0.773, 0.500)
Si (0.727, 0.227, 0.500)
Si (0.773, 0.727, 0.500)
Cl (0.124, 0.624, 0.000)
Cl (0.376, 0.124, 0.000)
Cl (0.624, 0.876, 0.000)
Cl (0.876, 0.376, 0.000)

The following is a PBE calculation of a geometry-optimized LiMgSeBr2 structure, from the Alexandria database.

Summary:
ΔE_f (raw) ... -799 meV/atom

Lattice parameters (Å, degrees): 5.340 5.340 5.156 90.00 90.00 90.00
Atoms (fractional coordinates):
Li (0.000, 0.000, 0.000)
Mg (0.500, 0.500, 0.500)
Se (0.500, 0.500, 0.000)
Br (0.000, 0.500, 0.500)
Br (0.500, 0.000, 0.500)

The following is a PBE calculation of a geometry-optimized AlCdBr2 structure, from the Alexandria database.

Summary:
ΔE_f (raw) ... -308 meV/atom

Lattice parameters (Å, degrees): 3.684 6.852 9.456 90.00 90.00 90.00
Atoms (fractional coordinates):
Al (0.000, 0.000, 0.000)
Al (0.500, 0.500, 0.500)
Cd (0.000, 0.500, 0.725)
Cd (0.500, 0.000, 0.225)
Br (0.000, 0.000, 0.452)
Br (0.000, 0.500, 0.301)
Br (0.500, 0.000, 0.801)
Br (0.500, 0.500, 0.952)

The following is a PBE calculation of a geometry-optimized LiLaNiHg structure, from the Alexandria database.

Summary:
Formation enthalpy at 0 K ... -79.0 kJ/mol of formula units

Lattice parameters (Å, degrees): 6.838 6.838 6.838 90.00 90.00 90.00
Atoms (fractional coordinates):
Li (0.000, 0.000, 0.000)
Li (0.000, 0.500, 0.500)
Li (0.500, 0.000, 0.500)
Li (0.500, 0.500, 0.000)
La (0.250, 0.250, 0.750)
La (0.250, 0.750, 0.250)
La (0.750, 0.250, 0.250)
La (0.750, 0.750, 0.750)
Ni (0.000, 0.000, 0.500)
Ni (0.000, 0.500, 0.000)
Ni (0.500, 0.000, 0.000)
Ni (0.500, 0.500, 0.500)
Hg (0.250, 0.250, 0.250)
Hg (0.250, 0.750, 0.750)
Hg (0.750, 0.250, 0.750)
Hg (0.750, 0.750, 0.250)